# 1
NiP2Ir at its PBEsol-relaxed geometry. Source: the Alexandria database, functional SCAN.

Summary:
For the energy above the most stable polymorph in this dataset, the calculation gives 0.342 eV/atom. The formation energy is -74 meV per atom.

Cell: 2.8001 2.8001 7.1878 Å, 90.00 90.00 90.00°
Positions (direct):
Ni (0.0000, 0.0000, 0.0000)
P (0.0000, 0.0000, 0.5404)
P (0.5000, 0.5000, 0.1569)
Ir (0.5000, 0.5000, 0.7289)

---

# 2
NiPIr2 at its PBEsol-relaxed geometry. Source: the Alexandria database, functional SCAN.

Summary:
The formation energy is 362 meV per atom.

Cell: 4.2042 4.2042 4.2042 Å, 60.00 60.00 60.00°
Positions (direct):
Ni (0.0000, 0.0000, 0.0000)
P (0.7500, 0.7500, 0.7500)
Ir (0.2500, 0.2500, 0.2500)
Ir (0.5000, 0.5000, 0.5000)

---

# 3
NiPIr2 at its PBEsol-relaxed geometry. Source: the Alexandria database, functional SCAN.

Summary:
The formation energy is -153 meV per atom.

Cell: 3.5599 5.4012 5.4012 Å, 29.74 90.00 90.00°
Positions (direct):
Ni (0.0000, 0.0000, 0.0000)
P (0.5000, 0.4220, 0.4220)
Ir (0.0000, 0.2814, 0.2814)
Ir (0.5000, 0.6368, 0.6368)

---

# 4
Ni2PIr at its PBEsol-relaxed geometry. Source: the Alexandria database, functional SCAN.

Summary:
The formation energy is -88 meV per atom.

Cell: 4.2390 4.2390 4.2390 Å, 128.15 128.15 76.38°
Positions (direct):
Ni (0.0000, 0.0000, 0.0000)
Ni (0.7500, 0.2500, 0.5000)
P (0.5000, 0.5000, 0.0000)
Ir (0.2500, 0.7500, 0.5000)

---

# 5
Ni2PIr at its PBEsol-relaxed geometry. Source: the Alexandria database, functional SCAN.

Summary:
The formation energy is -124 meV per atom.

Cell: 3.5359 3.5359 3.6625 Å, 90.00 90.00 90.00°
Positions (direct):
Ni (0.0000, 0.5000, 0.0000)
Ni (0.5000, 0.0000, 0.0000)
P (0.0000, 0.0000, 0.5000)
Ir (0.5000, 0.5000, 0.5000)

---

# 6
NiPIr2 at its PBEsol-relaxed geometry. Source: the Alexandria database, functional SCAN.

Summary:
The formation energy is 78 meV per atom.

Cell: 2.7987 3.2302 5.5656 Å, 90.00 90.00 90.00°
Positions (direct):
Ni (0.0000, 0.0000, 0.0000)
P (0.0000, 0.0000, 0.5000)
Ir (0.5000, 0.5000, 0.2526)
Ir (0.5000, 0.5000, 0.7474)

---

# 7
NiPIrS2 at its PBEsol-relaxed geometry. Source: the Alexandria database, functional SCAN.

Summary:
The value obtained for the uncorrected formation energy is 4.9 eV per formula unit.

Cell: 4.7246 4.7246 4.3453 Å, 90.00 90.00 90.00°
Positions (direct):
Ni (0.0000, 0.0000, 0.0000)
P (0.5000, 0.5000, 0.0000)
Ir (0.5000, 0.5000, 0.5000)
S (0.0000, 0.5000, 0.5000)
S (0.5000, 0.0000, 0.5000)

---

# 8
NiSbP2Ir at its PBEsol-relaxed geometry. Source: the Alexandria database, functional SCAN.

Summary:
The value obtained for the uncorrected formation energy is 4.1 eV per formula unit.

Cell: 4.3710 4.3710 5.6577 Å, 90.00 90.00 90.00°
Positions (direct):
Ni (0.0000, 0.0000, 0.0000)
Sb (0.5000, 0.5000, 0.0000)
P (0.0000, 0.5000, 0.5000)
P (0.5000, 0.0000, 0.5000)
Ir (0.5000, 0.5000, 0.5000)

---

# 9
NiIrPb2 at its PBEsol-relaxed geometry. Source: the Alexandria database, functional SCAN.

Summary:
For the energy above the most stable polymorph in this dataset, the calculation gives 0.000 eV/atom. The formation energy is 528 meV per atom.

Cell: 9.9347 9.9347 9.9347 Å, 18.03 18.03 18.03°
Positions (direct):
Ni (0.0000, 0.0000, 0.0000)
Ir (0.7258, 0.7258, 0.7258)
Pb (0.2610, 0.2610, 0.2610)
Pb (0.4706, 0.4706, 0.4706)

---

# 10
Ni2IrPb at its PBEsol-relaxed geometry. Source: the Alexandria database, functional SCAN.

Summary:
The formation energy is 443 meV per atom.

Cell: 4.4278 4.4278 4.9291 Å, 100.35 100.35 39.00°
Positions (direct):
Ni (0.2415, 0.2415, 0.2011)
Ni (0.7585, 0.7585, 0.7989)
Ir (0.5000, 0.5000, 0.0000)
Pb (0.0000, 0.0000, 0.5000)

---

# 11
NiIrPb2 at its PBEsol-relaxed geometry. Source: the Alexandria database, functional SCAN.

Summary:
For the energy above the most stable polymorph in this dataset, the calculation gives 0.039 eV/atom. The formation energy is 567 meV per atom.

Cell: 4.6915 4.6915 4.6915 Å, 121.46 118.44 90.10°
Positions (direct):
Ni (0.0000, 0.0000, 0.0000)
Ir (0.5000, 0.5000, 0.0000)
Pb (0.2476, 0.7476, 0.5000)
Pb (0.7524, 0.2524, 0.5000)

---

# 12
ZnNi2IrPb at its PBEsol-relaxed geometry. Source: the Alexandria database, functional SCAN.

Summary:
The formation energy is 997 meV per atom.

Cell: 4.5937 4.5937 5.0749 Å, 90.00 90.00 90.00°
Positions (direct):
Zn (0.0000, 0.0000, 0.0000)
Ni (0.0000, 0.5000, 0.5000)
Ni (0.5000, 0.0000, 0.5000)
Ir (0.5000, 0.5000, 0.5000)
Pb (0.5000, 0.5000, 0.0000)